# NaLa2Ga | the Alexandria database | PBE | relaxed
# total energy = -3.33 eV per atom
# V = 32.3 A^3/atom
# N(E_F) = 14.9 states/eV per cell
data_NaLa2Ga
_chemical_formula_sum 'Na4 La8 Ga4'
_symmetry_space_group_name_H-M 'I -4 2 d'
_symmetry_Int_Tables_number 122
_symmetry_space_group_name_Hall 'I -4 2bw'
_cell_length_a 4.7489
_cell_length_b 4.7489
_cell_length_c 22.9428
_cell_angle_alpha 90.00
_cell_angle_beta 90.00
_cell_angle_gamma 90.00
loop_
_atom_site_label
_atom_site_fract_x
_atom_site_fract_y
_atom_site_fract_z
Na1 0.0000 0.0000 0.0000
La1 0.2111 0.2500 0.6250
Ga1 0.0000 0.0000 0.5000

# Gd3P6Pd20 | the Alexandria database | PBE | relaxed
# total energy = -6.87 eV per atom
# V = 16.0 A^3/atom
# N(E_F) = 82.4 states/eV per cell
data_Gd3P6Pd20
_chemical_formula_sum 'Gd12 P24 Pd80'
_symmetry_space_group_name_H-M 'F m -3 m'
_symmetry_Int_Tables_number 225
_symmetry_space_group_name_Hall '-F 4 2 3'
_cell_length_a 12.3014
_cell_length_b 12.3014
_cell_length_c 12.3014
_cell_angle_alpha 90.00
_cell_angle_beta 90.00
_cell_angle_gamma 90.00
loop_
_atom_site_label
_atom_site_fract_x
_atom_site_fract_y
_atom_site_fract_z
Gd1 0.0000 0.0000 0.0000
Gd2 0.2500 0.2500 0.2500
P1 0.0000 0.0000 0.2630
Pd1 0.0000 0.1729 0.1729
Pd2 0.1150 0.1150 0.3850